First-principles (PBE-GGA) data for a relaxed structure of Sm2Y2HoMg, as listed in the Alexandria database.

The structure in CIF format:
```
data_Sm2Y2HoMg
_cell_length_a 3.619
_cell_length_b 11.862
_cell_length_c 10.341
_cell_angle_alpha 90.00
_cell_angle_beta 90.00
_cell_angle_gamma 90.00
_space_group_name_H-M_alt 'P 1'
_space_group_IT_number 1
loop_
_space_group_symop_operation_xyz
'x,y,z'
loop_
_atom_site_label
_atom_site_type_symbol
_atom_site_fract_x
_atom_site_fract_y
_atom_site_fract_z
_atom_site_occupancy
Mg1 Mg 0.000 0.000 0.000 1
Y1 Y 0.500 0.070 0.248 1
Sm1 Sm 0.000 0.723 0.907 1
Sm2 Sm 0.000 0.277 0.093 1
Y2 Y 0.000 0.430 0.748 1
Y3 Y 0.000 0.570 0.252 1
Ho1 Ho 0.500 0.500 0.000 1
Y4 Y 0.500 0.930 0.752 1
Ho2 Ho 0.000 0.000 0.500 1
Sm3 Sm 0.500 0.777 0.407 1
Sm4 Sm 0.500 0.223 0.593 1
Mg2 Mg 0.500 0.500 0.500 1
```

Values from the calculation:
Energy of formation from the pure elements (meV/atom): 452.3
DOS at the Fermi energy (states/eV/atom): 1.465
Crystal system: orthorhombic
Energy (eV/cell): -51.649